{
  "formula": "Sm2Dy5TmTh",
  "functional": "PBE",
  "state": "optimized geometry",
  "delta_e_f_mev_per_atom": 308,
  "spacegroup": "I4/mcm, No. 140",
  "dos_ef_per_ev_cell": 22.20,
  "total_magnetization_mub_per_cell": 0.0,
  "crystal_system": "tetragonal",
  "mass_density_g_cm3": 8.67,
  "cell": [[8.7183, 0.0000, 0.0000], [0.0000, 8.7183, 0.0000], [-4.3591, -4.3591, 7.6313]],
  "species": ["Tm", "Dy", "Dy", "Dy", "Th", "Dy", "Dy", "Dy", "Dy", "Dy", "Dy", "Sm", "Sm", "Sm", "Sm", "Dy", "Tm", "Th"],
  "frac_coords": [[0.2500, 0.7500, 0.5000], [0.8511, 0.9270, 0.2781], [0.9270, 0.4270, 0.2781], [0.5000, 0.5000, 0.0000], [0.2500, 0.2500, 0.5000], [0.0000, 0.0000, 0.0000], [0.6489, 0.1489, 0.7219], [0.1489, 0.0730, 0.7219], [0.0730, 0.5730, 0.7219], [0.5730, 0.6489, 0.7219], [0.3511, 0.8511, 0.2781], [0.3844, 0.8844, 0.0000], [0.1156, 0.3844, 0.0000], [0.6156, 0.1156, 0.0000], [0.8844, 0.6156, 0.0000], [0.4270, 0.3511, 0.2781], [0.7500, 0.2500, 0.5000], [0.7500, 0.7500, 0.5000]]
}



{
  "formula": "Tb4ScCu5",
  "functional": "PBE",
  "state": "optimized geometry",
  "delta_e_f_mev_per_atom": -241,
  "spacegroup": "P4/mmm, No. 123",
  "dos_ef_per_ev_cell": 4.05,
  "total_magnetization_mub_per_cell": 0.0,
  "crystal_system": "tetragonal",
  "mass_density_g_cm3": 8.15,
  "cell": [[-1.7081, -0.1940, -2.9626], [0.7704, -3.3298, -0.2261], [-14.5187, -3.9452, 8.6289]],
  "species": ["Tb", "Cu", "Tb", "Cu", "Cu", "Cu", "Sc", "Tb", "Cu", "Tb"],
  "frac_coords": [[0.0000, 0.0000, 0.1928], [0.5000, 0.5000, 0.5000], [0.0000, 0.0000, 0.3977], [0.5000, 0.5000, 0.2953], [0.5000, 0.5000, 0.7047], [0.5000, 0.5000, 0.9149], [0.0000, 0.0000, 0.0000], [0.0000, 0.0000, 0.8072], [0.5000, 0.5000, 0.0851], [0.0000, 0.0000, 0.6023]]
}



{
  "formula": "ZrTl2Os",
  "functional": "PBE",
  "state": "optimized geometry",
  "delta_e_f_mev_per_atom": 548,
  "spacegroup": "P4/mmm, No. 123",
  "dos_ef_per_ev_cell": 2.39,
  "total_magnetization_mub_per_cell": 0.0,
  "crystal_system": "tetragonal",
  "mass_density_g_cm3": 14.10,
  "cell": [[-1.7558, -1.2643, 2.5604], [-0.3783, -2.8762, -1.6797], [6.1063, -2.5215, 2.9422]],
  "species": ["Tl", "Tl", "Os", "Zr"],
  "frac_coords": [[0.0000, 0.0000, 0.9748], [0.0000, 0.0000, 0.5252], [0.5000, 0.5000, 0.7500], [0.5000, 0.5000, 0.2500]]
}



{
  "formula": "LaTm3Al8",
  "functional": "PBE",
  "state": "optimized geometry",
  "delta_e_f_mev_per_atom": -484,
  "spacegroup": "R3m, No. 160",
  "dos_ef_per_ev_cell": 9.69,
  "total_magnetization_mub_per_cell": 0.0,
  "crystal_system": "trigonal",
  "mass_density_g_cm3": 5.83,
  "cell": [[-0.7258, 0.6636, -5.4737], [-2.1075, -4.1466, -3.0485], [-9.4062, 2.0303, -1.3318]],
  "species": ["Tm", "Al", "Al", "Tm", "Al", "Al", "Tm", "Al", "Al", "Al", "La", "Al"],
  "frac_coords": [[0.3756, 0.3756, 0.8732], [0.9363, 0.9363, 0.6929], [0.4390, 0.4390, 0.1813], [0.0002, 0.0002, 0.9995], [0.6880, 0.6880, 0.9360], [0.4344, 0.9363, 0.6929], [0.4989, 0.4989, 0.5032], [0.4390, 0.9406, 0.1813], [0.1868, 0.1868, 0.4396], [0.9363, 0.4344, 0.6929], [0.8748, 0.8748, 0.3757], [0.9406, 0.4390, 0.1813]]
}



{
  "formula": "Nd2CoNi3",
  "functional": "PBE",
  "state": "optimized geometry",
  "delta_e_f_mev_per_atom": 67,
  "spacegroup": "Immm, No. 71",
  "dos_ef_per_ev_cell": 6.98,
  "total_magnetization_mub_per_cell": 1.8,
  "crystal_system": "orthorhombic",
  "mass_density_g_cm3": 7.74,
  "cell": [[4.1928, 0.0000, 0.0000], [0.0000, 5.1853, 0.0000], [-2.0964, -2.5926, 5.1627]],
  "species": ["Nd", "Ni", "Ni", "Ni", "Nd", "Co"],
  "frac_coords": [[0.3155, 0.8155, 0.6311], [0.6120, 0.6120, 0.2240], [0.0000, 0.0000, 0.0000], [0.3880, 0.3880, 0.7760], [0.6845, 0.1845, 0.3689], [0.0000, 0.5000, 0.0000]]
}



{
  "formula": "La2NdY6Ho3",
  "functional": "PBE",
  "state": "optimized geometry",
  "delta_e_f_mev_per_atom": 22,
  "spacegroup": "C2/m, No. 12",
  "dos_ef_per_ev_cell": 17.44,
  "total_magnetization_mub_per_cell": 0.0,
  "crystal_system": "monoclinic",
  "mass_density_g_cm3": 6.10,
  "cell": [[6.2417, -0.0001, 0.0028], [-3.1194, 5.4063, 0.0028], [-1.0439, -1.8075, 11.7012]],
  "species": ["Y", "La", "Y", "Y", "Y", "Ho", "Nd", "Y", "La", "Ho", "Ho", "Y"],
  "frac_coords": [[0.4183, 0.0855, 0.2555], [0.6668, 0.3332, 0.0000], [0.2473, 0.2473, 0.7446], [0.7527, 0.7527, 0.2554], [0.9145, 0.5817, 0.7445], [0.5000, 0.5000, 0.5000], [0.0000, 0.0000, 0.0000], [0.5817, 0.9145, 0.7445], [0.3332, 0.6668, 0.0000], [0.1665, 0.8335, 0.5000], [0.8335, 0.1665, 0.5000], [0.0855, 0.4183, 0.2555]]
}



{
  "formula": "Hf3AlGa4",
  "functional": "PBE",
  "state": "optimized geometry",
  "delta_e_f_mev_per_atom": -333,
  "spacegroup": "Pmn2_1, No. 31",
  "dos_ef_per_ev_cell": 7.97,
  "total_magnetization_mub_per_cell": 0.0,
  "crystal_system": "orthorhombic",
  "mass_density_g_cm3": 9.52,
  "cell": [[-2.0662, 5.0713, -0.1349], [-4.2295, -1.8035, -3.0185], [-5.0292, -1.8326, 8.1417]],
  "species": ["Al", "Ga", "Ga", "Ga", "Hf", "Ga", "Al", "Hf", "Ga", "Ga", "Hf", "Ga", "Hf", "Ga", "Hf", "Hf"],
  "frac_coords": [[0.3761, 0.9161, 0.5000], [0.1488, 0.6277, 0.0000], [0.6488, 0.3723, 0.5000], [0.8887, 0.9221, 0.5000], [0.6510, 0.6023, 0.0000], [0.6050, 0.6522, 0.2905], [0.8761, 0.0839, 0.0000], [0.6203, 0.1470, 0.2562], [0.6050, 0.6522, 0.7095], [0.3887, 0.0779, 0.0000], [0.1510, 0.3977, 0.5000], [0.1050, 0.3478, 0.7905], [0.1203, 0.8530, 0.7562], [0.1050, 0.3478, 0.2095], [0.1203, 0.8530, 0.2438], [0.6203, 0.1470, 0.7438]]
}



{
  "formula": "Zr2ZnCrC",
  "functional": "PBE",
  "state": "optimized geometry",
  "delta_e_f_mev_per_atom": -317,
  "spacegroup": "P4/mmm, No. 123",
  "dos_ef_per_ev_cell": 2.08,
  "total_magnetization_mub_per_cell": 0.0,
  "crystal_system": "tetragonal",
  "mass_density_g_cm3": 6.48,
  "cell": [[4.5951, 0.0000, 0.0000], [0.0000, 4.5951, 0.0000], [0.0000, 0.0000, 3.7845]],
  "species": ["C", "Cr", "Zr", "Zn", "Zr"],
  "frac_coords": [[0.0000, 0.0000, 0.0000], [0.0000, 0.0000, 0.5000], [0.5000, 0.0000, 0.0000], [0.5000, 0.5000, 0.5000], [0.0000, 0.5000, 0.0000]]
}